Compound: TbTh6Sc2
Source: Alexandria
Functional: PBE
Structure: optimized geometry

V, Å³ per cell: 276
Energy relative to the elements, eV/atom: 0.13
Energy, eV per atom: -6.74

a b c (Å): 3.5504 9.8188 9.8197
angles (deg): 125.25 85.75 85.75
With the nearest neighbours (Å) after each atom.
Fractional positions:
Sc (0.5000, 0.8340, 0.1660)  6 Th 3.35-3.54, 2 Tb 3.40, 2 Sc 3.55
Th (0.8148, 0.5007, 0.1613)  7 Th 3.33-3.55, 3 Sc 3.35-3.54
Th (0.6872, 0.6620, 0.6620)  8 Th 3.38-3.55, 2 Tb 3.41-3.59
Sc (0.5000, 0.1660, 0.8340)  6 Th 3.35-3.54, 2 Tb 3.40, 2 Sc 3.55
Th (0.3128, 0.3380, 0.3380)  8 Th 3.38-3.55, 2 Tb 3.41-3.59
Th (0.8148, 0.1613, 0.5007)  7 Th 3.33-3.55, 3 Sc 3.35-3.54
Th (0.1852, 0.8387, 0.4993)  7 Th 3.33-3.55, 3 Sc 3.35-3.54
Tb (0.0000, 0.0000, 0.0000)  4 Sc 3.40, 4 Th 3.41-3.59, 2 Tb 3.55
Th (0.1852, 0.4993, 0.8387)  7 Th 3.33-3.55, 3 Sc 3.35-3.54


Compound: GeBi2B
Source: Alexandria
Functional: PBE
Structure: optimized geometry

V, Å³ per cell: 224
Energy relative to the elements, eV/atom: 0.65
Energy, eV per atom: -4.12
Relative energy among the computed polymorphs, meV/atom: 0

a b c (Å): 6.2331 6.2331 7.2489
angles (deg): 64.54 64.54 90.00
With the nearest neighbours (Å) after each atom.
Fractional positions:
Bi (0.3750, 0.4343, 0.7500)  2 B 2.43
B (0.5000, 0.5000, 0.0000)  4 Bi 2.43
Ge (0.0000, 0.0000, 0.0000)  4 Bi 2.87
B (0.2500, 0.7500, 0.5000)  4 Bi 2.43
Bi (0.5657, 0.1250, 0.2500)  2 B 2.43
Bi (0.1843, 0.6250, 0.2500)  2 B 2.43
Ge (0.7500, 0.2500, 0.5000)  4 Bi 2.87
Bi (0.8750, 0.8157, 0.7500)  2 B 2.43


Compound: Nd2Al3Cd
Source: Alexandria
Functional: PBE
Structure: optimized geometry

V, Å³ per cell: 287
Energy relative to the elements, eV/atom: -0.43
Energy, eV per atom: -4.04

a b c (Å): 6.0280 6.0280 8.9316
angles (deg): 105.47 105.47 102.09
With the nearest neighbours (Å) after each atom.
Fractional positions:
Al (0.3272, 0.8367, 0.1639)  2 Al 2.65, 1 Cd 2.76
Al (0.6728, 0.1633, 0.8361)  2 Al 2.65, 1 Cd 2.76
Cd (0.3332, 0.3332, 0.6663)  3 Al 2.74-2.76
Cd (0.6668, 0.6668, 0.3337)  3 Al 2.74-2.76
Al (0.8367, 0.3272, 0.1639)  2 Al 2.65, 1 Cd 2.76
Nd (0.2500, 0.7500, 0.5000)  4 Cd 3.30, 8 Al 3.31-3.32
Nd (0.7500, 0.2500, 0.5000)  4 Cd 3.30, 8 Al 3.31-3.32
Nd (0.7488, 0.7488, 0.0000)  10 Al 3.26-3.32, 2 Cd 3.29
Nd (0.2512, 0.2512, 0.0000)  10 Al 3.26-3.32, 2 Cd 3.29
Al (0.8363, 0.8363, 0.6727)  2 Al 2.65, 1 Cd 2.74
Al (0.1633, 0.6728, 0.8361)  2 Al 2.65, 1 Cd 2.76
Al (0.1637, 0.1637, 0.3273)  2 Al 2.65, 1 Cd 2.74


Compound: LaTaAs2
Source: Alexandria
Functional: PBE
Structure: optimized geometry

V, Å³ per cell: 96
Energy relative to the elements, eV/atom: 0.09
Energy, eV per atom: -6.43
Relative energy among the computed polymorphs, meV/atom: 950

a b c (Å): 3.0226 3.0226 10.4753
angles (deg): 90.00 90.00 90.00
With the nearest neighbours (Å) after each atom.
Fractional positions:
As (0.5000, 0.5000, 0.2814)  4 As 3.02, 4 La 3.14
Ta (0.5000, 0.5000, 0.7693)  4 As 2.84, 4 Ta 3.02
La (0.0000, 0.0000, 0.5012)  4 La 3.02, 4 As 3.14
As (0.0000, 0.0000, 0.9481)  4 Ta 2.84, 4 As 3.02


Question: Look up the V of the fourth one.
Answer: 96 Å³ per cell


Question: The lowest energy relative to the elements belongs to which entry?
Answer: Nd2Al3Cd


Question: Which value of energy relative to the elements does entry 4 give?
Answer: 0.09 eV/atom


Question: The highest energy relative to the elements belongs to which entry?
Answer: GeBi2B